# FeSbIO2

Crystalline FeSbIO2 at its relaxed geometry (PBE with a Hubbard U, the Alexandria database).

Energy above the lowest structure with this stoichiometry (eV/atom): 0.0000
Uncorrected energy (eV per atom): -5.317
Symmetry: P2_1/m (11)

Cell: 4.0670 6.9809 7.4705 Å, 91.53 90.00 90.00°
With the nearest neighbours (Å) after each atom.
Fractional positions:
Fe 0.2500 0.5882 0.8716  4 O 2.13-2.22
Fe 0.7500 0.4118 0.1284  4 O 2.13-2.22
Sb 0.2500 0.6684 0.3885  4 O 2.11-2.23
Sb 0.7500 0.3316 0.6115  4 O 2.11-2.23
I 0.2500 0.9591 0.7664  1 Fe 2.73
I 0.7500 0.0409 0.2336  1 Fe 2.73
O 0.7500 0.5400 0.4037  3 Sb 2.16-2.23, 1 Fe 2.22
O 0.2500 0.4600 0.5963  3 Sb 2.16-2.23, 1 Fe 2.22
O 0.7500 0.4914 0.8554  1 Sb 2.11, 3 Fe 2.13-2.15
O 0.2500 0.5086 0.1446  1 Sb 2.11, 3 Fe 2.13-2.15